[1]
Computed, not measured: a PBEsol-optimized structure of ScCuTc at the meta-GGA SCAN level of DFT.

The relative energy among the computed polymorphs is 0.0 meV per atom. As for the crystal system: orthorhombic. For the formation energy, the calculation gives 88 meV/atom. The density of states at the Fermi level is 8.54 states/eV/cell.

The structure belongs to space group Fmm2 (No. 42); the cell edges are 3.839, 3.868 and 12.068 Å and the angles 90.00°, 90.00° and 90.00°. The inequivalent atoms are Sc at (0.000, 0.000, 0.000), Cu at (0.000, 0.000, 0.670) and Tc at (0.000, 0.000, 0.319).

[2]
Computed, not measured: a PBEsol-optimized structure of ScCuTc at the meta-GGA SCAN level of DFT.

The relative energy among the computed polymorphs is 317.5 meV per atom. As for the crystal system: cubic. For the formation energy, the calculation gives 405 meV/atom. The density of states at the Fermi level is 11.72 states/eV/cell.

The structure belongs to space group F-43m (No. 216); the cell edges are 5.884, 5.884 and 5.884 Å and the angles 90.00°, 90.00° and 90.00°. The inequivalent atoms are Sc at (0.000, 0.000, 0.000), Cu at (0.250, 0.250, 0.750) and Tc at (0.000, 0.000, 0.500).

[3]
Computed, not measured: a PBEsol-optimized structure of ScCuTc2 at the meta-GGA SCAN level of DFT.

The relative energy among the computed polymorphs is 79.1 meV per atom. As for the crystal system: orthorhombic. For the formation energy, the calculation gives -65 meV/atom. The density of states at the Fermi level is 2.37 states/eV/cell.

The structure belongs to space group Pmmm (No. 47); the cell edges are 3.166, 4.206 and 4.367 Å and the angles 90.00°, 90.00° and 90.00°. The inequivalent atoms are Sc at (0.000, 0.000, 0.000), Cu at (0.500, 0.500, 0.000), Tc at (0.000, 0.500, 0.500) and Tc at (0.500, 0.000, 0.500).